Here is a relaxed CoTeI2N crystal from Alexandria. Energies are from GGA-PBE.

Cell lengths 5.212, 5.212, 4.809 Å; angles 90.00, 90.00, 90.00 degrees
Positions (direct):
Co (0.000, 0.000, 0.000)
Te (0.000, 0.000, 0.500)
I (0.000, 0.500, 0.000)
I (0.500, 0.000, 0.000)
N (0.500, 0.500, 0.500)

Properties
Spin magnetization: 0.00 Bohr magnetons per cell
Total energy: -0.10179 hartree per atom